The following is a DFT calculation (PBE with a Hubbard U) of a relaxed structure of Rh2WF.

Summary:
Space-group type   I-42d, No. 122
M_tot   0.0000 μB per atom
Calculated density   11.371 Mg/m³
Excess energy over the best structure of this formula in the dataset   0.0667 eV/atom

Cell and atoms, written as POSCAR:
```
Rh2WF
1.0
-3.311 3.311 2.722
3.311 -3.311 2.722
3.311 3.311 -2.722
Rh W F
4 2 2
direct
0.112 0.625 0.987
0.375 0.362 0.487
0.638 0.125 0.013
0.875 0.888 0.513
0.250 0.750 0.500
0.500 0.500 0.000
0.000 0.000 0.000
0.750 0.250 0.500
```